Record 1
4
Lattice="3.751 0.000 0.000 0.000 3.722 0.004 0.000 3.708 9.577" Properties=species:S:1:pos:R:3 comment="Sr2YTc PBE-GGA optimized geometry" magnetic_moment_mub_per_fu=0.40 formation_enthalpy_0k_mev_per_atom=318 space_group="Pmm2 (25)" dos_at_fermi_per_ev_fu=4.9 e_above_lowest_polymorph_mev_per_atom=0 pbc="T T T"
Y 1.876 5.572 6.429
Sr 0.000 3.709 9.191
Sr 1.876 1.858 3.105
Tc 0.000 3.713 5.224

=====

Record 2
4
Lattice="-0.869 2.990 2.726 -3.757 -2.988 2.080 1.660 -3.108 3.938" Properties=species:S:1:pos:R:3 comment="ZnSb2Se PBE-GGA optimized geometry" magnetic_moment_mub_per_fu=0.00 space_group="Pm (6)" dos_at_fermi_per_ev_fu=0.7 e_above_lowest_polymorph_mev_per_atom=108 pbc="T T T"
Sb 1.587 -3.127 3.936
Sb -0.916 0.052 2.792
Se -1.074 -3.307 3.285
Zn -1.952 -2.879 5.677

=====

Record 3
9
Lattice="4.858 0.000 0.000 0.000 4.858 0.000 0.000 0.000 12.148" Properties=species:S:1:pos:R:3 comment="Tb6PmMg2 PBE-GGA optimized geometry" magnetic_moment_mub_per_fu=0.00 formation_enthalpy_0k_mev_per_atom=142 space_group="P4/mmm (123)" dos_at_fermi_per_ev_fu=16.7 pbc="T T T"
Tb 0.000 2.429 8.658
Tb 2.429 2.429 6.074
Tb 2.429 0.000 3.490
Tb 0.000 0.000 6.074
Tb 0.000 2.429 3.490
Tb 2.429 0.000 8.658
Mg 2.429 2.429 10.784
Mg 2.429 2.429 1.364
Pm 0.000 0.000 0.000